(1)
Material: Tb3DyTm6
Method: DFT, GGA-PBE
State: optimized geometry

Unit cell a=6.4335 b=9.4254 c=6.4574 alpha=110.33 beta=120.02 gamma=89.75
Atoms (fractional coordinates):
Tb  0.8628  0.3093  0.8685
Tb  0.1372  0.6907  0.1315
Tb  0.0000  0.0000  0.0000
Dy  0.5000  0.5000  0.0000
Tm  0.4396  0.3120  0.3053
Tm  0.9942  0.6882  0.5555
Tm  0.5604  0.6880  0.6947
Tm  0.0058  0.3118  0.4445
Tm  0.3485  0.0503  0.7012
Tm  0.6515  0.9497  0.2988

Properties
- excess energy over the best structure of this formula in the dataset (eV/atom) = 0.024
- ΔH_f (0 K) (eV/atom) = 0.17
- space group = P-1, No. 2

---

(2)
Material: TbTmBeIn
Method: DFT, GGA-PBE
State: optimized geometry

Unit cell a=5.0900 b=5.0900 c=5.0900 alpha=60.00 beta=60.00 gamma=60.00
Atoms (fractional coordinates):
Be  0.0000  0.0000  0.0000
Tm  0.7500  0.7500  0.7500
Tb  0.2500  0.2500  0.2500
In  0.5000  0.5000  0.5000

Properties
- ΔH_f (0 K) (eV/atom) = -0.12
- space group = F-43m, No. 216

---

(3)
Material: Nd3HoAs4
Method: DFT, GGA-PBE
State: optimized geometry

Unit cell a=4.2338 b=7.3264 c=7.3264 alpha=109.47 beta=90.00 gamma=90.00
Atoms (fractional coordinates):
Nd  0.0000  0.0000  0.5000
Nd  0.5000  0.5000  0.5000
Nd  0.0000  0.5000  0.0000
Ho  0.5000  0.0000  0.0000
As  0.0000  0.2431  0.2431
As  0.5000  0.7535  0.2465
As  0.0000  0.7569  0.7569
As  0.5000  0.2465  0.7535

Properties
- excess energy over the best structure of this formula in the dataset (eV/atom) = 0.000
- ΔH_f (0 K) (eV/atom) = -1.51
- space group = Cmmm, No. 65

---

(4)
Material: Al2MoCl
Method: DFT, GGA-PBE
State: optimized geometry

Unit cell a=5.2259 b=5.2259 c=4.9062 alpha=75.26 beta=75.26 gamma=32.00
Atoms (fractional coordinates):
Mo  0.2279  0.2279  0.1882
Al  0.9627  0.9627  0.0807
Al  0.7551  0.7551  0.7095
Cl  0.5544  0.5544  0.5215

Properties
- formation energy from raw total energies (kJ/mol of formula units) = -12
- excess energy over the best structure of this formula in the dataset (eV/atom) = 0.330
- space group = Cm, No. 8

---

(5)
Material: NdSi2Pt7Pb2
Method: DFT, GGA-PBE
State: optimized geometry

Unit cell a=4.0274 b=4.0274 c=15.5408 alpha=82.79 beta=82.79 gamma=90.03
Atoms (fractional coordinates):
Nd  0.0000  0.0000  0.0000
Si  0.6139  0.6139  0.7646
Si  0.3861  0.3861  0.2354
Pt  0.5000  0.5000  0.0000
Pt  0.3075  0.3075  0.3866
Pt  0.6925  0.6925  0.6134
Pt  0.9276  0.4277  0.1500
Pt  0.4277  0.9276  0.1500
Pt  0.5723  0.0724  0.8500
Pt  0.0724  0.5723  0.8500
Pb  0.7917  0.7917  0.4188
Pb  0.2083  0.2083  0.5812

Properties
- formation energy from raw total energies (kJ/mol of formula units) = -665
- space group = C2/m, No. 12

---

(6)
Material: ScTc2Ru
Method: DFT, GGA-PBE
State: optimized geometry

Unit cell a=4.4334 b=4.4334 c=4.4334 alpha=119.98 beta=119.98 gamma=90.03
Atoms (fractional coordinates):
Ru  0.5000  0.5000  0.0000
Sc  0.7500  0.2500  0.5000
Tc  0.0000  0.0000  0.0000
Tc  0.2500  0.7500  0.5000

Properties
- excess energy over the best structure of this formula in the dataset (eV/atom) = 0.019
- ΔH_f (0 K) (eV/atom) = -0.10
- space group = F-43m, No. 216

---

(7)
Material: HfIrRu3
Method: DFT, GGA-PBE
State: optimized geometry

Unit cell a=4.6375 b=4.6375 c=4.6375 alpha=90.00 beta=90.00 gamma=90.00
Each line ends with the local moment (μB).
Atoms (fractional coordinates):
Ru  0.0000  0.5000  0.0000  0.78
Ru  0.0000  0.0000  0.5000  0.77
Ru  0.5000  0.0000  0.0000  0.72
Ir  0.5000  0.5000  0.5000  0.29
Hf  0.0000  0.0000  0.0000  -0.08

Properties
- excess energy over the best structure of this formula in the dataset (eV/atom) = 0.635
- ΔH_f (0 K) (eV/atom) = 1.94
- space group = Pm-3m, No. 221

---

(8)
Material: AcHo2Hg6
Method: DFT, GGA-PBE
State: optimized geometry

Unit cell a=3.8092 b=8.4765 c=8.7700 alpha=118.90 beta=102.57 gamma=90.00
Atoms (fractional coordinates):
Ac  0.0000  0.0000  0.0000
Ho  0.8569  0.3572  0.7144
Ho  0.1431  0.6428  0.2856
Hg  0.6772  0.3567  0.3543
Hg  0.3228  0.6433  0.6457
Hg  0.3228  0.0024  0.6457
Hg  0.5000  0.6696  0.0000
Hg  0.5000  0.3304  0.0000
Hg  0.6772  0.9976  0.3543

Properties
- ΔH_f (0 K) (eV/atom) = -0.38
- space group = Immm, No. 71

---

(9)
Material: SnPPt3
Method: DFT, GGA-PBE
State: optimized geometry

Unit cell a=4.9213 b=4.9213 c=4.9213 alpha=90.00 beta=90.00 gamma=90.00
Atoms (fractional coordinates):
P  0.5000  0.5000  0.5000
Sn  0.0000  0.0000  0.0000
Pt  0.0000  0.5000  0.0000
Pt  0.0000  0.0000  0.5000
Pt  0.5000  0.0000  0.0000

Properties
- excess energy over the best structure of this formula in the dataset (eV/atom) = 1.277
- ΔH_f (0 K) (eV/atom) = 1.22
- space group = Pm-3m, No. 221

---

(10)
Material: K2NaSnI5
Method: DFT, GGA-PBE
State: optimized geometry

Unit cell a=4.8767 b=10.3920 c=16.1580 alpha=90.00 beta=90.00 gamma=103.57
Atoms (fractional coordinates):
K  0.8535  0.7070  0.8024
K  0.1036  0.2073  0.6554
K  0.1465  0.2930  0.3024
K  0.8964  0.7927  0.1554
Na  0.7788  0.5575  0.5362
Na  0.2212  0.4425  0.0362
Sn  0.5408  0.0816  0.9455
Sn  0.4592  0.9184  0.4455
I  0.3769  0.7538  0.9860
I  0.6872  0.3743  0.9009
I  0.4985  0.9971  0.7611
I  0.2737  0.5474  0.6717
I  0.9393  0.8787  0.5647
I  0.6231  0.2462  0.4860
I  0.3128  0.6257  0.4009
I  0.5015  0.0029  0.2611
I  0.7263  0.4526  0.1717
I  0.0607  0.1213  0.0647

Properties
- formation energy from raw total energies (kJ/mol of formula units) = -924
- space group = Cmc2_1, No. 36

---

(11)
Material: Pm5CdRh2
Method: DFT, GGA-PBE
State: optimized geometry

Unit cell a=8.0007 b=8.0007 c=8.8758 alpha=116.79 beta=116.79 gamma=90.00
Atoms (fractional coordinates):
Pm  0.5269  0.7042  0.7311
Pm  0.7958  0.9731  0.2689
Pm  0.0000  0.0000  0.0000
Pm  0.5000  0.5000  0.0000
Pm  0.2042  0.0269  0.7311
Pm  0.7042  0.2042  0.7311
Pm  0.0269  0.5269  0.7311
Pm  0.2958  0.7958  0.2689
Pm  0.9731  0.4731  0.2689
Pm  0.4731  0.2958  0.2689
Cd  0.7500  0.7500  0.5000
Cd  0.2500  0.2500  0.5000
Rh  0.1371  0.3629  0.0000
Rh  0.6371  0.1371  0.0000
Rh  0.3629  0.8629  0.0000
Rh  0.8629  0.6371  0.0000

Properties
- excess energy over the best structure of this formula in the dataset (eV/atom) = 0.000
- ΔH_f (0 K) (eV/atom) = -0.49
- space group = I4/mcm, No. 140

---

(12)
Material: CeSm5S8
Method: DFT, GGA-PBE
State: optimized geometry

Unit cell a=7.3601 b=7.3601 c=7.3601 alpha=109.62 beta=109.18 gamma=109.62
Each line ends with the local moment (μB).
Atoms (fractional coordinates):
Ce  0.2500  0.5000  0.7500  1.01
Sm  0.9935  0.3666  0.1279  0.08
Sm  0.8721  0.8656  0.2388  0.08
Sm  0.7612  0.6334  0.6269  0.08
Sm  0.5000  0.0000  0.5000  0.04
Sm  0.3731  0.1344  0.0065  0.08
S  0.1255  0.7501  0.0233  -0.01
S  0.9767  0.1022  0.7267  -0.01
S  0.7687  0.2479  0.3724  0.00
S  0.6276  0.3963  0.8755  0.00
S  0.4792  0.6037  0.2313  0.00
S  0.6245  0.8978  0.8745  -0.01
S  0.2733  0.2499  0.3755  -0.01
S  0.1245  0.7521  0.5208  0.00

Properties
- formation energy from raw total energies (kJ/mol of formula units) = -2723
- space group = I-4, No. 82

---

(13)
Material: Cs2ZnSeBr
Method: DFT, GGA-PBE
State: optimized geometry

Unit cell a=7.0257 b=7.0257 c=4.9986 alpha=90.00 beta=90.00 gamma=90.00
Atoms (fractional coordinates):
Cs  0.0000  0.5000  0.0000
Cs  0.5000  0.0000  0.0000
Zn  0.0000  0.0000  0.5000
Se  0.0000  0.0000  0.0000
Br  0.5000  0.5000  0.5000

Properties
- formation energy from raw total energies (kJ/mol of formula units) = -469
- space group = P4/mmm, No. 123

---

(14)
Material: ScFe3As
Method: DFT, GGA-PBE
State: optimized geometry

Unit cell a=4.2797 b=4.2797 c=4.2797 alpha=90.00 beta=90.00 gamma=90.00
Atoms (fractional coordinates):
Sc  0.5000  0.5000  0.5000
As  0.0000  0.0000  0.0000
Fe  0.0000  0.5000  0.0000
Fe  0.0000  0.0000  0.5000
Fe  0.5000  0.0000  0.0000

Properties
- excess energy over the best structure of this formula in the dataset (eV/atom) = 0.000
- ΔH_f (0 K) (eV/atom) = 0.45
- space group = Pm-3m, No. 221

---

(15)
Material: Pm2PCl3
Method: DFT, GGA-PBE
State: optimized geometry

Unit cell a=3.9372 b=8.0398 c=10.6064 alpha=112.09 beta=100.70 gamma=90.00
Atoms (fractional coordinates):
Pm  0.4037  0.8488  0.8075
Pm  0.5963  0.1512  0.1925
Pm  0.2021  0.6800  0.4042
Pm  0.7979  0.3200  0.5958
P  0.1952  0.3088  0.3903
P  0.8048  0.6912  0.6097
Cl  0.6798  0.9270  0.3597
Cl  0.0266  0.8466  0.0531
Cl  0.4043  0.5004  0.8086
Cl  0.5957  0.4996  0.1914
Cl  0.9734  0.1534  0.9469
Cl  0.3202  0.0730  0.6404

Properties
- formation energy from raw total energies (kJ/mol of formula units) = -1108
- space group = C2/m, No. 12

---

(16)
Material: NaCeY2
Method: DFT, GGA-PBE
State: optimized geometry

Unit cell a=3.4840 b=3.4840 c=12.6879 alpha=82.11 beta=82.11 gamma=60.00
Each line ends with the local moment (μB).
Atoms (fractional coordinates):
Y  0.0928  0.0928  0.7217  -0.01
Y  0.9072  0.9072  0.2783  -0.01
Na  0.0000  0.0000  0.0000  0.00
Ce  0.5000  0.5000  0.5000  0.36

Properties
- excess energy over the best structure of this formula in the dataset (eV/atom) = 0.035
- ΔH_f (0 K) (eV/atom) = 0.19
- space group = R-3m, No. 166

---

(17)
Material: Ba2MnNi
Method: DFT, GGA-PBE
State: optimized geometry

Unit cell a=4.2923 b=4.7288 c=7.0095 alpha=70.26 beta=90.00 gamma=90.00
Each line ends with the local moment (μB).
Atoms (fractional coordinates):
Ba  0.0000  0.9886  0.8979  -0.09
Ba  0.5000  0.2618  0.3513  -0.09
Mn  0.0000  0.6669  0.5411  3.62
Ni  0.5000  0.5827  0.7097  0.34

Properties
- excess energy over the best structure of this formula in the dataset (eV/atom) = 0.000
- ΔH_f (0 K) (eV/atom) = 0.28
- space group = Amm2, No. 38

---

(18)
Material: PbC
Method: DFT, GGA-PBE
State: optimized geometry

Unit cell a=10.7487 b=3.7180 c=6.7604 alpha=90.00 beta=90.00 gamma=90.00
Atoms (fractional coordinates):
Pb  0.7968  0.1468  0.3186
Pb  0.7032  0.8532  0.8186
Pb  0.2032  0.1468  0.3186
Pb  0.2968  0.8532  0.8186
Pb  0.0000  0.4933  0.6232
Pb  0.5000  0.5067  0.1232
C  0.7867  0.3541  0.6650
C  0.7133  0.6459  0.1650
C  0.2133  0.3541  0.6650
C  0.2867  0.6459  0.1650
C  0.0000  0.0025  0.4115
C  0.5000  0.9975  0.9115

Properties
- excess energy over the best structure of this formula in the dataset (eV/atom) = 0.940
- ΔH_f (0 K) (eV/atom) = 1.79
- space group = Pmn2_1, No. 31

---

(19)
Material: BaCoOs2
Method: DFT, GGA-PBE
State: optimized geometry

Unit cell a=4.2986 b=4.2986 c=6.3478 alpha=70.21 beta=70.21 gamma=60.00
Each line ends with the local moment (μB).
Atoms (fractional coordinates):
Ba  0.4992  0.4992  0.5031  -0.02
Co  0.3108  0.3108  0.0673  1.54
Os  0.0045  0.0045  0.9864  0.10
Os  0.6855  0.6855  0.9432  0.07

Properties
- excess energy over the best structure of this formula in the dataset (eV/atom) = 0.000
- ΔH_f (0 K) (eV/atom) = 0.31
- space group = R3m, No. 160

---

(20)
Material: Rb3Pm2ErO6
Method: DFT, GGA-PBE
State: optimized geometry

Unit cell a=6.2060 b=6.2060 c=6.9006 alpha=98.61 beta=98.61 gamma=120.01
Atoms (fractional coordinates):
Rb  0.1656  0.8344  0.5000
Rb  0.8344  0.1656  0.5000
Rb  0.5000  0.5000  0.5000
Pm  0.3333  0.6667  0.0000
Pm  0.6667  0.3333  0.0000
Er  0.0000  0.0000  0.0000
O  0.9408  0.6179  0.8225
O  0.7362  0.7362  0.1776
O  0.0592  0.3821  0.1775
O  0.6179  0.9408  0.8225
O  0.2638  0.2638  0.8224
O  0.3821  0.0592  0.1775

Properties
- formation energy from raw total energies (kJ/mol of formula units) = -3045
- space group = C2/m, No. 12

---

(21)
Material: MgMnGaAg
Method: DFT, GGA-PBE
State: optimized geometry

Unit cell a=4.5613 b=4.5613 c=4.5613 alpha=60.00 beta=60.00 gamma=60.00
Each line ends with the local moment (μB).
Atoms (fractional coordinates):
Mg  0.5000  0.5000  0.5000  -0.02
Mn  0.0000  0.0000  0.0000  3.61
Ga  0.7500  0.7500  0.7500  -0.08
Ag  0.2500  0.2500  0.2500  0.01

Properties
- ΔH_f (0 K) (eV/atom) = -0.01
- space group = F-43m, No. 216

---

(22)
Material: Ni3MoC
Method: DFT, GGA-PBE
State: optimized geometry

Unit cell a=3.8204 b=3.8204 c=3.8204 alpha=90.00 beta=90.00 gamma=90.00
Each line ends with the local moment (μB).
Atoms (fractional coordinates):
Ni  0.0000  0.5000  0.0000  0.20
Ni  0.0000  0.0000  0.5000  0.23
Ni  0.5000  0.0000  0.0000  0.26
Mo  0.5000  0.5000  0.5000  1.41
C  0.0000  0.0000  0.0000  0.00

Properties
- excess energy over the best structure of this formula in the dataset (eV/atom) = 0.000
- ΔH_f (0 K) (eV/atom) = 0.43
- space group = Pm-3m, No. 221

---

(23)
Material: RbNa3In
Method: DFT, GGA-PBE
State: optimized geometry

Unit cell a=6.4653 b=6.4653 c=6.4653 alpha=90.00 beta=90.00 gamma=90.00
Atoms (fractional coordinates):
Na  0.0000  0.5000  0.0000
Na  0.0000  0.0000  0.5000
Na  0.5000  0.0000  0.0000
Rb  0.0000  0.0000  0.0000
In  0.5000  0.5000  0.5000

Properties
- excess energy over the best structure of this formula in the dataset (eV/atom) = 0.574
- ΔH_f (0 K) (eV/atom) = 0.57
- space group = Pm-3m, No. 221

---

(24)
Material: MgP3Pd
Method: DFT, GGA-PBE
State: optimized geometry

Unit cell a=4.7259 b=4.7259 c=4.7259 alpha=90.00 beta=90.00 gamma=90.00
Atoms (fractional coordinates):
P  0.0000  0.5000  0.0000
P  0.0000  0.0000  0.5000
P  0.5000  0.0000  0.0000
Mg  0.5000  0.5000  0.5000
Pd  0.0000  0.0000  0.0000

Properties
- excess energy over the best structure of this formula in the dataset (eV/atom) = 0.000
- ΔH_f (0 K) (eV/atom) = 0.60
- space group = Pm-3m, No. 221

---

(25)
Material: NiTeBr2
Method: DFT, GGA-PBE
State: optimized geometry

Unit cell a=5.0690 b=5.0690 c=5.0690 alpha=60.00 beta=60.00 gamma=60.00
Atoms (fractional coordinates):
Ni  0.0000  0.0000  0.0000
Te  0.5000  0.5000  0.5000
Br  0.2500  0.2500  0.2500
Br  0.7500  0.7500  0.7500

Properties
- formation energy from raw total energies (kJ/mol of formula units) = 285
- excess energy over the best structure of this formula in the dataset (eV/atom) = 0.985
- space group = Fm-3m, No. 225

---

| no. | spin magnetization (μB per formula unit) |
| --- | --- |
| 1 | 0.0 |
| 2 | 0.0 |
| 3 | 0.0 |
| 4 | 0.0 |
| 5 | 0.0 |
| 6 | 0.0 |
| 7 | 2.5 |
| 8 | 0.0 |
| 9 | 0.0 |
| 10 | 0.0 |
| 11 | 0.0 |
| 12 | 1.9 |
| 13 | 0.0 |
| 14 | 0.0 |
| 15 | 0.0 |
| 16 | 0.4 |
| 17 | 3.6 |
| 18 | 0.0 |
| 19 | 1.7 |
| 20 | 0.0 |
| 21 | 3.6 |
| 22 | 2.3 |
| 23 | 0.0 |
| 24 | 0.0 |
| 25 | 0.0 |